No. 1
ScTa3Pt after structural relaxation, computed with PBEsol.

```
ScTa3Pt
1.0
4.5757 0.0000 0.0000
0.0000 4.5757 0.0000
0.0000 0.0000 4.5757
Ta Sc Pt
3 1 1
Direct
0.0000 0.5000 0.0000
0.5000 0.0000 0.0000
0.0000 0.0000 0.5000
0.0000 0.0000 0.0000
0.5000 0.5000 0.5000
```

- Energy of formation from the pure elements: 1847 meV/atom
- Magnetic moment: 0.0 Bohr magnetons per cell



No. 2
ScTa2Pt after structural relaxation, computed with PBEsol.

```
ScTa2Pt
1.0
4.5691 0.0000 0.0000
2.2846 3.9570 0.0000
2.2846 1.3190 3.7307
Ta Sc Pt
2 1 1
Direct
0.7500 0.7500 0.7500
0.2500 0.2500 0.2500
0.5000 0.5000 0.5000
0.0000 0.0000 0.0000
```

- Energy of formation from the pure elements: -67 meV/atom
- Magnetic moment: 0.0 Bohr magnetons per cell